Compound: EuPd3S4
Source: the Alexandria database
Functional: meta-GGA SCAN
Structure: PBEsol geometry

```
16
Lattice="6.621 0.000 0.000 0.000 6.621 0.000 0.000 0.000 6.621" Properties=species:S:1:pos:R:3 pbc="T T T"
S 1.655 4.966 4.966
S 1.655 4.966 1.655
S 4.966 4.966 1.655
S 4.966 1.655 4.966
S 4.966 4.966 4.966
S 1.655 1.655 4.966
S 1.655 1.655 1.655
S 4.966 1.655 1.655
Pd 1.655 0.000 3.311
Pd 4.966 0.000 3.311
Pd 3.311 1.655 0.000
Pd 0.000 3.311 1.655
Pd 0.000 3.311 4.966
Pd 3.311 4.966 0.000
Eu 3.311 3.311 3.311
Eu 0.000 0.000 0.000
```

Properties
The value obtained for the mass density is 6.859 g/cm³. The value obtained for the formation energy without anion corrections is -7.9 eV per formula unit. The volume comes out at 18.1 Å³/atom. As for the density of states at the Fermi level: 6.99 states/eV/cell.